[1]
DFT (PBE) results for a relaxed structure of Th2InGa4Pd3.

Calculated values
VASP energy (eV/cell): -52.16
Formation energy (eV per atom): -0.6892
Crystal system: tetragonal

a b c (Å): 4.316 4.316 10.786
angles (deg): 90.00 90.00 90.00
Fractional coordinates of all 10 atoms:
Th 0.000 0.500 0.237
Th 0.500 0.000 0.763
In 0.000 0.000 0.500
Ga 0.000 0.000 0.000
Ga 0.000 0.500 0.648
Ga 0.500 0.000 0.352
Ga 0.500 0.500 0.000
Pd 0.000 0.500 0.875
Pd 0.500 0.000 0.125
Pd 0.500 0.500 0.500

***

[2]
DFT (PBE) results for a relaxed structure of Th2InGa3Pd4.

Calculated values
VASP energy (eV/cell): -54.65
Formation energy (eV per atom): -0.7222
Crystal system: tetragonal

a b c (Å): 4.309 4.309 10.815
angles (deg): 90.00 90.00 90.00
Fractional coordinates of all 10 atoms:
Th 0.000 0.500 0.242
Th 0.500 0.000 0.758
In 0.000 0.000 0.500
Ga 0.000 0.500 0.876
Ga 0.500 0.000 0.124
Ga 0.500 0.500 0.500
Pd 0.000 0.000 0.000
Pd 0.000 0.500 0.649
Pd 0.500 0.000 0.351
Pd 0.500 0.500 0.000

***

[3]
DFT (PBE) results for a relaxed structure of ThInGaPd3.

Calculated values
VASP energy (eV/cell): -63.49
Formation energy (eV per atom): -0.4969
Crystal system: orthorhombic

a b c (Å): 7.098 7.098 5.895
angles (deg): 90.00 90.00 121.96
Fractional coordinates of all 12 atoms:
Th 0.185 0.815 0.750
Th 0.815 0.185 0.250
In 0.436 0.564 0.750
In 0.564 0.436 0.250
Ga 0.131 0.869 0.250
Ga 0.869 0.131 0.750
Pd 0.200 0.200 0.000
Pd 0.200 0.200 0.500
Pd 0.333 0.667 0.250
Pd 0.667 0.333 0.750
Pd 0.800 0.800 0.000
Pd 0.800 0.800 0.500

***

[4]
DFT (PBE) results for a relaxed structure of TlInGa2Pd.

Calculated values
VASP energy (eV/cell): -16.86
Formation energy (eV per atom): -0.1010
Crystal system: tetragonal

a b c (Å): 4.859 4.859 5.348
angles (deg): 90.00 90.00 90.00
Fractional coordinates of all 5 atoms:
Tl 0.000 0.000 0.000
In 0.500 0.500 0.000
Ga 0.000 0.500 0.500
Ga 0.500 0.000 0.500
Pd 0.500 0.500 0.500